Entry 1:
# BiRhS2

Crystalline BiRhS2 at its relaxed geometry (PBE, Alexandria via LeMat-Bulk).

The formation energy (no corrections) is -0.016 eV/atom. The value obtained for the spin magnetization is 0.0 μB per cell.

The space group is I4_1/amd (No. 141, origin choice 2) and the conventional cell measures 5.284, 5.284 and 11.697 Å, with angles of 90.00, 90.00 and 90.00 degrees. Symmetry generates all atoms from Bi at (0.000, 0.250, 0.375), Rh at (0.000, 0.250, 0.875) and S at (0.000, 0.250, 0.077).



Entry 2:
# BiRhS2

Crystalline BiRhS2 at its relaxed geometry (PBE, Alexandria via LeMat-Bulk).

The formation energy (no corrections) is 0.222 eV/atom. The value obtained for the spin magnetization is 0.0 μB per cell.

The space group is P4/mmm (No. 123) and the conventional cell measures 4.637, 4.637 and 3.417 Å, with angles of 90.00, 90.00 and 90.00 degrees. Symmetry generates all atoms from Bi at (0.000, 0.000, 0.000), Rh at (0.500, 0.500, 0.000) and S at (0.000, 0.500, 0.500).